No. 1
CePm2TcN4 after structural relaxation. Source: the Alexandria database, functional PBE.

E_tot ... -133.68 eV per cell
Density ... 7.8 Mg/m³
V ... 15.50 Å³/atom
D(E_F) ... 11.05 states/eV/cell
Size of the total moment ... 0.50 μB/f.u.
Space group ... Cmcm (63)
E_form (uncorrected) ... -0.967 eV/atom

Lattice parameters (Å, degrees): 3.493 6.172 11.996 90.00 90.00 106.43
Fractional positions:
N 0.000 0.000 0.000
N 0.729 0.457 0.636
N 0.729 0.457 0.864
N 0.271 0.543 0.364
N 0.000 0.000 0.500
N 0.438 0.877 0.750
N 0.562 0.123 0.250
N 0.271 0.543 0.136
Ce 0.881 0.762 0.250
Ce 0.119 0.238 0.750
Pm 0.632 0.264 0.457
Pm 0.368 0.736 0.957
Pm 0.632 0.264 0.043
Pm 0.368 0.736 0.543
Tc 0.145 0.289 0.250
Tc 0.855 0.711 0.750



No. 2
Ce2PmTcN4 after structural relaxation. Source: the Alexandria database, functional PBE.

E_tot ... -137.89 eV per cell
Density ... 8.0 Mg/m³
V ... 14.97 Å³/atom
D(E_F) ... 3.77 states/eV/cell
Size of the total moment ... 0.00 μB/f.u.
Space group ... Cmcm (63)
E_form (uncorrected) ... -1.082 eV/atom

Lattice parameters (Å, degrees): 3.429 6.227 11.668 90.00 90.00 105.98
Fractional positions:
N 0.000 0.000 0.000
N 0.732 0.463 0.627
N 0.268 0.537 0.127
N 0.268 0.537 0.373
N 0.540 0.080 0.250
N 0.000 0.000 0.500
N 0.732 0.463 0.873
N 0.460 0.920 0.750
Tc 0.144 0.289 0.250
Tc 0.856 0.711 0.750
Ce 0.632 0.264 0.451
Ce 0.368 0.736 0.549
Ce 0.632 0.264 0.049
Ce 0.368 0.736 0.951
Pm 0.884 0.767 0.250
Pm 0.116 0.233 0.750



Please write out number 2 again, unchanged.
Ce2PmTcN4 after structural relaxation. Source: the Alexandria database, functional PBE.

E_tot ... -137.89 eV per cell
Density ... 8.0 Mg/m³
V ... 14.97 Å³/atom
D(E_F) ... 3.77 states/eV/cell
Size of the total moment ... 0.00 μB/f.u.
Space group ... Cmcm (63)
E_form (uncorrected) ... -1.082 eV/atom

Lattice parameters (Å, degrees): 3.429 6.227 11.668 90.00 90.00 105.98
Fractional positions:
N 0.000 0.000 0.000
N 0.732 0.463 0.627
N 0.268 0.537 0.127
N 0.268 0.537 0.373
N 0.540 0.080 0.250
N 0.000 0.000 0.500
N 0.732 0.463 0.873
N 0.460 0.920 0.750
Tc 0.144 0.289 0.250
Tc 0.856 0.711 0.750
Ce 0.632 0.264 0.451
Ce 0.368 0.736 0.549
Ce 0.632 0.264 0.049
Ce 0.368 0.736 0.951
Pm 0.884 0.767 0.250
Pm 0.116 0.233 0.750



Which formula does entry 1 have?
CePm2TcN4